The following is a SCAN calculation of SrRe2 at its PBEsol-relaxed geometry, from the Alexandria database.

Cell lengths 11.182, 11.182, 4.303 Å; angles 90.00, 90.00, 164.42 degrees
Positions (direct):
1 Sr 0.172 0.828 0.750
2 Sr 0.828 0.172 0.250
3 Re 0.052 0.948 0.250
4 Re 0.455 0.545 0.250
5 Re 0.545 0.455 0.750
6 Re 0.948 0.052 0.750

Output
As for the density: 10.57 g cm⁻³. As for the energy of formation from the pure elements: 1.77 eV per formula unit. The total energy is -3.986 Ry per atom. Its space-group type is Cmcm (63).



The following is a SCAN calculation of SrRe4 at its PBEsol-relaxed geometry, from the Alexandria database.

Cell lengths 6.027, 6.027, 6.027 Å; angles 137.79, 137.79, 61.23 degrees
Positions (direct):
1 Sr 0.000 0.000 0.000
2 Re 0.250 0.750 0.500
3 Re 0.374 0.374 0.000
4 Re 0.626 0.626 0.000
5 Re 0.750 0.250 0.500

Output
As for the density: 14.15 g cm⁻³. As for the energy of formation from the pure elements: 1.14 eV per formula unit. The total energy is -4.491 Ry per atom. Its space-group type is I4/mmm (139).



The following is a SCAN calculation of Sr2TaRe at its PBEsol-relaxed geometry, from the Alexandria database.

Cell lengths 5.020, 5.020, 5.020 Å; angles 60.00, 60.00, 60.00 degrees
Positions (direct):
1 Sr 0.000 0.000 0.000
2 Sr 0.250 0.250 0.250
3 Ta 0.750 0.750 0.750
4 Re 0.500 0.500 0.500

Output
As for the density: 10.07 g cm⁻³. As for the energy of formation from the pure elements: 4.78 eV per formula unit. The total energy is -3.261 Ry per atom. Its space-group type is F-43m (216).



The following is a SCAN calculation of SrTa4Re at its PBEsol-relaxed geometry, from the Alexandria database.

Cell lengths 5.478, 5.478, 5.478 Å; angles 60.00, 60.00, 60.00 degrees
Positions (direct):
1 Sr 0.000 0.000 0.000
2 Ta 0.375 0.375 0.375
3 Ta 0.375 0.375 0.875
4 Ta 0.375 0.875 0.375
5 Ta 0.875 0.375 0.375
6 Re 0.750 0.750 0.750

Output
As for the density: 14.25 g cm⁻³. As for the energy of formation from the pure elements: 4.69 eV per formula unit. The total energy is -4.349 Ry per atom. Its space-group type is F-43m (216).